Ca2TeAu, optimized geometry, DFT PBE-GGA; energy relative to the elements, uncorrected = -1.0838 eV per atom; DOS(E_F) = 1.5 states/eV per cell
1.0
2.1979 1.2690 7.3255
-2.1979 1.2690 7.3255
0.0000 -2.5379 7.3255
Ca Te Au
2 1 1
Cartesian
0.0000 0.0000 0.0000
0.0000 0.0000 3.9019
0.0000 0.0000 9.2938
0.0000 0.0000 12.9152

=====

Sm2Dy4Tl, optimized geometry, DFT PBE-GGA; ΔE_f = -0.051 eV/atom; DOS(E_F) = 32.9 states/eV per cell
1.0
20.3651 0.0000 0.0000
0.0000 3.5435 0.0000
0.0000 0.0000 12.1660
Sm Dy Tl
8 16 4
Cartesian
1.0566 0.8859 1.1939
2.8617 0.8859 6.4597
7.3209 2.6576 0.3766
9.1259 2.6576 7.2769
11.2392 0.8859 4.8892
13.0442 0.8859 11.7894
17.5034 2.6576 5.7064
19.3085 2.6576 10.9722
0.0178 0.8859 4.5835
1.9324 0.8859 9.9328
3.9837 2.6576 0.0517
4.8506 2.6576 8.8812
5.3320 0.8859 2.7982
6.1989 0.8859 6.1347
8.2502 2.6576 3.8498
10.1648 2.6576 10.6665
10.2004 0.8859 1.4995
12.1149 0.8859 8.3163
14.1663 2.6576 6.0313
15.0332 2.6576 9.3678
15.5145 0.8859 3.2848
16.3814 0.8859 12.1143
18.4327 2.6576 2.2332
20.3473 2.6576 7.5825
2.7176 2.6576 3.5486
7.4650 0.8859 9.6316
12.9001 2.6576 2.5345
17.6476 0.8859 8.6175

=====

Na2CaBi2, optimized geometry, DFT PBE-GGA; ΔE_f = -0.487 eV/atom; DOS(E_F) = 0.6 states/eV per cell
1.0
2.6384 1.5233 6.3968
-2.6384 1.5233 6.3968
0.0000 -3.0466 6.3968
Na Ca Bi
2 1 2
Cartesian
0.0000 0.0000 3.9195
0.0000 0.0000 15.2710
0.0000 0.0000 0.0000
0.0000 0.0000 7.9589
0.0000 0.0000 11.2315

=====

Ca2InGa4Ir3, optimized geometry, DFT PBE-GGA; ΔE_f = -0.487 eV/atom; DOS(E_F) = 3.0 states/eV per cell
1.0
4.1413 0.0000 0.0000
0.0000 4.1413 0.0000
0.0000 0.0000 11.3488
Ca In Ga Ir
2 1 4 3
Cartesian
0.0000 2.0706 2.6517
2.0706 0.0000 8.6971
0.0000 0.0000 5.6744
0.0000 0.0000 0.0000
0.0000 2.0706 7.3865
2.0706 0.0000 3.9622
2.0706 2.0706 0.0000
0.0000 2.0706 9.8682
2.0706 0.0000 1.4805
2.0706 2.0706 5.6744

=====

La2Pm5DyEr, optimized geometry, DFT PBE-GGA; ΔE_f = 0.127 eV/atom; DOS(E_F) = 25.3 states/eV per cell
1.0
2.8605 -10.1363 0.0000
2.8605 10.1363 0.0000
0.0000 0.0000 10.8209
La Pm Dy Er
4 10 2 2
Cartesian
2.8605 7.8272 5.4105
2.8605 7.7560 0.8919
2.8605 -7.7560 6.3024
2.8605 -7.8272 0.0000
2.8605 9.8169 8.5042
2.8605 4.4849 0.8323
2.8605 4.1326 5.0764
2.8605 2.3350 8.5128
2.8605 0.3661 5.5006
2.8605 -0.3661 0.0901
2.8605 -2.3350 3.1023
2.8605 -4.1326 10.4869
2.8605 -4.4849 6.2428
2.8605 -9.8169 3.0937
2.8605 1.8596 2.4773
2.8605 -1.8596 7.8878
2.8605 6.0706 8.3909
2.8605 -6.0706 2.9804

=====

Pr5Ho3Sb8, optimized geometry, DFT PBE-GGA; energy relative to the elements, uncorrected = -1.1544 eV per atom; DOS(E_F) = 2.2 states/eV per cell
1.0
4.4901 2.5924 7.3246
-4.4901 2.5924 7.3246
0.0000 -5.1848 7.3246
Pr Ho Sb
5 3 8
Cartesian
0.0000 0.0000 0.0000
-2.2451 -1.2962 7.3246
-2.2451 1.2962 14.6493
0.0000 2.5924 7.3246
0.0000 0.0000 10.9870
-4.4901 0.0000 10.9869
-2.2451 1.2962 3.6623
2.2451 1.2962 3.6623
-2.2816 -1.3173 12.7584
0.0000 0.0000 5.4047
0.0000 -2.6346 9.2155
-2.2816 1.3173 9.2155
2.2816 -1.3173 12.7584
0.0000 2.6346 12.7584
0.0000 0.0000 16.5692
2.2816 1.3173 9.2155